LiEr2Zn (PBE, relaxed); energy above the most stable polymorph in this dataset = 0.000 eV/atom; N(E_F) = 1.00 states/eV per atom; energy of formation from the pure elements = -0.125 eV/atom
1.0
3.616 0.000 0.000
0.000 5.038 0.000
0.000 0.000 5.038
Er Li Zn
2 1 1
Direct
0.000 0.500 0.000
0.000 0.000 0.500
0.500 0.500 0.500
0.500 0.000 0.000